Below is Sr8HgSb5 after structural relaxation, with properties calculated at the PBE level.

The structure in POSCAR format:
```
Sr8HgSb5
1.0
0.9612 -1.1179 -8.5893
-1.6339 -7.6906 3.7597
-6.6440 5.4343 1.5084
Sr Sb Hg
8 5 1
direct
0.6350 0.9087 0.8769
0.4924 0.6128 0.2522
0.7478 0.2402 0.3607
0.2737 0.2419 0.3650
0.1231 0.7581 0.0318
0.1204 0.7598 0.5076
0.9682 0.0913 0.7263
0.6393 0.3872 0.8796
0.0165 0.3823 0.1288
0.7465 0.6177 0.6342
0.3658 0.1123 0.9835
0.8712 0.8877 0.2535
0.5000 0.0000 0.5000
0.2500 0.5000 0.7500
```

- raw total energy (eV/atom) = -3.4106
- spin magnetization (μB per formula unit) = 1.1
- energy relative to the elements, uncorrected (eV/atom) = -0.956



Below is PmNd2TmBi4 after structural relaxation, with properties calculated at the PBE level.

The structure in POSCAR format:
```
PmNd2TmBi4
1.0
-4.4605 0.7323 0.6236
-1.5047 -7.5017 -1.9538
1.1728 0.5096 7.7897
Pm Bi Tm Nd
1 4 1 2
direct
0.0000 0.0000 0.0000
0.5000 0.2528 0.2447
0.5000 0.7472 0.7553
0.0000 0.2574 0.7586
0.0000 0.7426 0.2414
0.5000 0.5000 0.0000
0.0000 0.5000 0.5000
0.5000 0.0000 0.5000
```

- raw total energy (eV/atom) = -5.1848
- energy of formation from the pure elements (eV/atom) = -0.8996
- spin magnetization (μB per formula unit) = 0.0



Below is CuBiI2O after structural relaxation, with properties calculated at the PBE level.

The structure in POSCAR format:
```
CuBiI2O
1.0
6.2138 0.0000 0.0000
0.0000 6.2138 0.0000
0.0000 0.0000 4.2865
O I Bi Cu
1 2 1 1
direct
0.0000 0.0000 0.5000
0.5000 0.0000 0.0000
0.0000 0.5000 0.0000
0.0000 0.0000 0.0000
0.5000 0.5000 0.5000
```

- raw total energy (eV/atom) = -3.0700
- spin magnetization (μB per formula unit) = 0.1
- energy relative to the elements, uncorrected (eV/atom) = 0.137